(1)
A plane-wave DFT calculation with GGA-PBE was carried out for a geometry-optimized SrTa2Ti structure.

a = 6.9780 Å, b = 6.9780 Å, c = 6.9780 Å
α = 90.00°, β = 90.00°, γ = 90.00°
Space group Fm-3m (No. 225)
Asymmetric unit:
Sr 0.0000 0.0000 0.0000
Ta 0.2500 0.2500 0.2500
Ti 0.0000 0.0000 0.5000

Values from the calculation:
- energy relative to the lowest polymorph listed for this composition (eV per atom) = 0.000
- calculated total energy (eV per formula unit) = -28.86


(2)
A plane-wave DFT calculation with GGA-PBE was carried out for a geometry-optimized SrZr2TaTi structure.

a = 5.0332 Å, b = 5.0332 Å, c = 4.9467 Å
α = 90.00°, β = 90.00°, γ = 90.00°
Space group P4/mmm (No. 123)
Asymmetric unit:
Sr 0.0000 0.0000 0.0000
Zr 0.0000 0.5000 0.0000
Ta 0.0000 0.0000 0.5000
Ti 0.5000 0.5000 0.5000

Values from the calculation:
- calculated total energy (eV per formula unit) = -27.46


(3)
A plane-wave DFT calculation with GGA-PBE was carried out for a geometry-optimized SrTa2Tl structure.

a = 7.1636 Å, b = 7.1636 Å, c = 7.1636 Å
α = 90.00°, β = 90.00°, γ = 90.00°
Space group F-43m (No. 216)
Asymmetric unit:
Sr 0.0000 0.0000 0.0000
Ta 0.0000 0.0000 0.5000
Ta 0.2500 0.2500 0.7500
Tl 0.2500 0.2500 0.2500

Values from the calculation:
- energy relative to the lowest polymorph listed for this composition (eV per atom) = 0.466
- calculated total energy (eV per formula unit) = -24.45


(4)
A plane-wave DFT calculation with GGA-PBE was carried out for a geometry-optimized SrTaTl2 structure.

a = 3.3849 Å, b = 3.3849 Å, c = 32.5637 Å
α = 90.00°, β = 90.00°, γ = 120.00°
Space group R3m (No. 160, hexagonal axes)
Asymmetric unit:
Sr 0.0000 0.0000 0.0000
Ta 0.0000 0.0000 0.7488
Tl 0.0000 0.0000 0.2393
Tl 0.0000 0.0000 0.4892

Values from the calculation:
- calculated total energy (eV per formula unit) = -15.98


(5)
A plane-wave DFT calculation with GGA-PBE was carried out for a geometry-optimized SrTaTl2 structure.

a = 15.5818 Å, b = 3.2947 Å, c = 4.8487 Å
α = 90.00°, β = 108.06°, γ = 90.00°
Space group Cm (No. 8)
Asymmetric unit:
Sr 0.0000 0.0000 0.0000
Ta 0.2062 0.5000 0.2055
Tl 0.1824 0.0000 0.6817
Tl 0.3706 0.0000 0.3713

Values from the calculation:
- calculated total energy (eV per formula unit) = -16.45


(6)
A plane-wave DFT calculation with GGA-PBE was carried out for a geometry-optimized SrTa2Tl structure.

a = 3.8963 Å, b = 4.5553 Å, c = 10.4273 Å
α = 90.00°, β = 90.00°, γ = 90.00°
Space group Cmmm (No. 65)
Asymmetric unit:
Sr 0.0000 0.0000 0.0000
Ta 0.0000 0.5000 0.2769
Tl 0.0000 0.0000 0.5000

Values from the calculation:
- energy relative to the lowest polymorph listed for this composition (eV per atom) = 0.531
- calculated total energy (eV per formula unit) = -24.19


(7)
A plane-wave DFT calculation with GGA-PBE was carried out for a geometry-optimized SrTa2Tl structure.

a = 3.5542 Å, b = 3.5900 Å, c = 7.8978 Å
α = 90.00°, β = 90.00°, γ = 90.00°
Space group Pmm2 (No. 25)
Asymmetric unit:
Sr 0.0000 0.0000 0.0000
Ta 0.0000 0.0000 0.5480
Ta 0.5000 0.5000 0.6887
Tl 0.5000 0.5000 0.3024

Values from the calculation:
- energy relative to the lowest polymorph listed for this composition (eV per atom) = 0.000
- calculated total energy (eV per formula unit) = -26.31


(8)
A plane-wave DFT calculation with GGA-PBE was carried out for a geometry-optimized SrTa2Tl structure.

a = 3.0571 Å, b = 3.0571 Å, c = 10.0053 Å
α = 90.00°, β = 90.00°, γ = 90.00°
Space group P4mm (No. 99)
Asymmetric unit:
Sr 0.0000 0.0000 0.0000
Ta 0.0000 0.0000 0.4940
Ta 0.5000 0.5000 0.2865
Tl 0.5000 0.5000 0.7260

Values from the calculation:
- energy relative to the lowest polymorph listed for this composition (eV per atom) = 0.178
- calculated total energy (eV per formula unit) = -25.60


(9)
A plane-wave DFT calculation with GGA-PBE was carried out for a geometry-optimized SrTa3Tl structure.

a = 5.2469 Å, b = 5.2469 Å, c = 5.2469 Å
α = 90.00°, β = 90.00°, γ = 90.00°
Space group Pm-3m (No. 221)
Asymmetric unit:
Sr 0.0000 0.0000 0.0000
Ta 0.0000 0.5000 0.5000
Tl 0.5000 0.5000 0.5000

Values from the calculation:
- energy relative to the lowest polymorph listed for this composition (eV per atom) = 0.000
- calculated total energy (eV per formula unit) = -29.30


(10)
A plane-wave DFT calculation with GGA-PBE was carried out for a geometry-optimized Sr3TaTl structure.

a = 5.9619 Å, b = 5.9619 Å, c = 5.9619 Å
α = 90.00°, β = 90.00°, γ = 90.00°
Space group Pm-3m (No. 221)
Asymmetric unit:
Sr 0.0000 0.0000 0.5000
Ta 0.0000 0.0000 0.0000
Tl 0.5000 0.5000 0.5000

Values from the calculation:
- energy relative to the lowest polymorph listed for this composition (eV per atom) = 0.000
- calculated total energy (eV per formula unit) = -14.75


(11)
A plane-wave DFT calculation with GGA-PBE was carried out for a geometry-optimized SrTa2Tl structure.

a = 3.7275 Å, b = 5.0498 Å, c = 10.1219 Å
α = 90.00°, β = 90.00°, γ = 90.00°
Space group Cmm2 (No. 35)
Asymmetric unit:
Sr 0.0000 0.0000 0.0000
Ta 0.0000 0.0000 0.4748
Ta 0.0000 0.5000 0.2781
Tl 0.0000 0.5000 0.7169

Values from the calculation:
- energy relative to the lowest polymorph listed for this composition (eV per atom) = 0.128
- calculated total energy (eV per formula unit) = -25.80


(12)
A plane-wave DFT calculation with GGA-PBE was carried out for a geometry-optimized SrTaTl2 structure.

a = 4.4639 Å, b = 4.4639 Å, c = 10.5873 Å
α = 90.00°, β = 90.00°, γ = 90.00°
Space group I-4m2 (No. 119)
Asymmetric unit:
Sr 0.0000 0.0000 0.0000
Ta 0.0000 0.5000 0.7500
Tl 0.0000 0.0000 0.5000
Tl 0.0000 0.5000 0.2500

Values from the calculation:
- calculated total energy (eV per formula unit) = -15.94


Magnetic moment
In order: 5.059, 0.002, 0.002, 0.001, 0.001, 0.000, 0.000, 0.000, 0.000, 0.000, 0.000, 1.662
Unit: μB per cell